A plane-wave DFT calculation with PBE was carried out for a relaxed ScHg2Br crystal.

Properties
- Calculated volume: 109.0 Å³/f.u.
- Space group: P2/m, No. 10
- Uncorrected energy: -2.4567 eV per atom
- Polymorph energy (0 for the lowest one): 5.17 kcal/mol of atoms
- Total magnetization: 0.00 μB/atom

a b c (Å): 5.452 3.824 5.913
angles (deg): 62.18 90.00 90.00
Fractional positions:
Br: 0.500 0.750 0.750
Sc: 0.500 0.250 0.250
Hg: 0.000 0.132 0.024
Hg: 0.000 0.368 0.476